Here is an optimized crystal structure of LiLaIn2Au4 from Alexandria. Energies are from GGA-PBE.

VASP energy: -29.85 eV per formula unit
formation energy from the elements: -553 meV per atom

a b c (Å): 9.1276 9.1276 9.1276
angles (deg): 30.22 30.22 30.22
Fractional positions:
Li (0.0000, 0.0000, 0.0000)
La (0.5000, 0.5000, 0.5000)
In (0.2582, 0.2582, 0.2582)
In (0.7418, 0.7418, 0.7418)
Au (0.1059, 0.1059, 0.1059)
Au (0.3675, 0.3675, 0.3675)
Au (0.6325, 0.6325, 0.6325)
Au (0.8941, 0.8941, 0.8941)

Here is an optimized crystal structure of Li2LaInAu4 from Alexandria. Energies are from GGA-PBE.

VASP energy: -29.14 eV per formula unit
formation energy from the elements: -567 meV per atom

a b c (Å): 9.5208 9.5208 9.5208
angles (deg): 27.85 27.85 27.85
Fractional positions:
Li (0.2349, 0.2349, 0.2349)
Li (0.7651, 0.7651, 0.7651)
La (0.0000, 0.0000, 0.0000)
In (0.5000, 0.5000, 0.5000)
Au (0.1204, 0.1204, 0.1204)
Au (0.3962, 0.3962, 0.3962)
Au (0.6038, 0.6038, 0.6038)
Au (0.8796, 0.8796, 0.8796)

Here is an optimized crystal structure of Li2LaInAu5 from Alexandria. Energies are from GGA-PBE.

VASP energy: -31.93 eV per formula unit
formation energy from the elements: -450 meV per atom

a b c (Å): 4.8841 4.8841 7.5396
angles (deg): 90.00 90.00 90.00
Fractional positions:
Li (0.0000, 0.0000, 0.1597)
Li (0.0000, 0.0000, 0.8403)
La (0.5000, 0.5000, 0.5000)
In (0.5000, 0.5000, 0.0000)
Au (0.0000, 0.0000, 0.5000)
Au (0.0000, 0.5000, 0.2263)
Au (0.0000, 0.5000, 0.7737)
Au (0.5000, 0.0000, 0.2263)
Au (0.5000, 0.0000, 0.7737)

Here is an optimized crystal structure of La2MgInAu6 from Alexandria. Energies are from GGA-PBE.

VASP energy: -38.95 eV per formula unit
formation energy from the elements: -509 meV per atom

a b c (Å): 5.5384 7.1388 7.1647
angles (deg): 80.29 67.36 67.26
Fractional positions:
La (0.0230, 0.2224, 0.2318)
La (0.9770, 0.7776, 0.7682)
Mg (0.5000, 0.5000, 0.0000)
In (0.5000, 0.0000, 0.5000)
Au (0.0078, 0.7718, 0.2091)
Au (0.3380, 0.4190, 0.4064)
Au (0.4920, 0.2258, 0.7917)
Au (0.5080, 0.7742, 0.2083)
Au (0.6620, 0.5810, 0.5936)
Au (0.9922, 0.2282, 0.7909)

Here is an optimized crystal structure of LaMnIn2Au from Alexandria. Energies are from GGA-PBE.

ΔE to the lowest computed polymorph: 1.010 eV/atom
VASP energy: -17.89 eV per formula unit
formation energy from the elements: 993 meV per atom

a b c (Å): 6.1313 6.1313 5.4883
angles (deg): 90.00 90.00 90.00
Fractional positions:
La (0.0000, 0.0000, 0.0000)
Mn (0.5000, 0.5000, 0.5000)
In (0.0000, 0.5000, 0.0000)
In (0.5000, 0.0000, 0.0000)
Au (0.0000, 0.0000, 0.5000)

Here is an optimized crystal structure of LaMnIn2Au from Alexandria. Energies are from GGA-PBE.

ΔE to the lowest computed polymorph: 0.000 eV/atom
VASP energy: -22.93 eV per formula unit
formation energy from the elements: -16 meV per atom

a b c (Å): 5.0752 5.0752 4.9504
angles (deg): 90.00 90.00 90.00
Fractional positions:
La (0.0000, 0.0000, 0.0000)
Mn (0.0000, 0.0000, 0.5000)
In (0.0000, 0.5000, 0.5000)
In (0.5000, 0.0000, 0.5000)
Au (0.5000, 0.5000, 0.0000)